The following is a DFT calculation (GGA-PBE) of a relaxed structure of Tb2Dy2In3.

Cell lengths 15.1109, 3.5850, 8.2915 Å; angles 90.00, 118.09, 90.00 degrees
Space group C2/m (No. 12)
Asymmetric unit:
Tb  0.1304  0.0000  0.3234 (multiplicity 4)
Dy  0.1880  0.0000  0.7830 (multiplicity 4)
In  0.0000  0.5000  0.5000 (multiplicity 2)
In  0.0797  0.5000  0.9499 (multiplicity 4)

Properties
- Crystal system: monoclinic
- ΔH_f (0 K): -344 meV/atom

The following is a DFT calculation (GGA-PBE) of a relaxed structure of Tb5Dy2In3.

Cell lengths 12.6374, 15.2034, 6.5708 Å; angles 90.00, 90.00, 90.00 degrees
Space group Ibam (No. 72)
Asymmetric unit:
Tb  0.0000  0.0000  0.2500 (multiplicity 4)
Tb  0.0756  0.3392  0.0000 (multiplicity 8)
Tb  0.2414  0.5000  0.2500 (multiplicity 8)
Dy  0.1497  0.2003  0.5000 (multiplicity 8)
In  0.0000  0.5000  0.2500 (multiplicity 4)
In  0.1368  0.1479  0.0000 (multiplicity 8)

Properties
- Crystal system: orthorhombic
- ΔH_f (0 K): -44 meV/atom

The following is a DFT calculation (GGA-PBE) of a relaxed structure of TbDy6In3.

Cell lengths 10.4685, 15.3129, 7.6779 Å; angles 90.00, 90.00, 90.00 degrees
Space group Cmc2_1 (No. 36)
Asymmetric unit:
Tb  0.0000  0.2081  0.0000 (multiplicity 4)
Dy  0.0000  0.0466  0.2865 (multiplicity 4)
Dy  0.0000  0.3028  0.4482 (multiplicity 4)
Dy  0.2353  0.4667  0.4759 (multiplicity 8)
Dy  0.2360  0.3131  0.7880 (multiplicity 8)
In  0.0000  0.4479  0.7590 (multiplicity 4)
In  0.1457  0.1346  0.6492 (multiplicity 8)

Properties
- Crystal system: orthorhombic
- ΔH_f (0 K): -133 meV/atom

The following is a DFT calculation (GGA-PBE) of a relaxed structure of TbDy15In4.

Cell lengths 4.8527, 4.8527, 24.6646 Å; angles 90.00, 90.00, 90.00 degrees
Space group P4/mmm (No. 123)
Asymmetric unit:
Tb  0.0000  0.0000  0.0000 (multiplicity 1)
Dy  0.0000  0.5000  0.1050 (multiplicity 4)
Dy  0.0000  0.5000  0.3031 (multiplicity 4)
Dy  0.0000  0.5000  0.5000 (multiplicity 2)
Dy  0.5000  0.5000  0.0000 (multiplicity 1)
Dy  0.5000  0.5000  0.2048 (multiplicity 2)
Dy  0.5000  0.5000  0.4020 (multiplicity 2)
In  0.0000  0.0000  0.2062 (multiplicity 2)
In  0.0000  0.0000  0.4018 (multiplicity 2)

Properties
- Crystal system: tetragonal
- ΔH_f (0 K): -202 meV/atom

The following is a DFT calculation (GGA-PBE) of a relaxed structure of Tb4Dy7In.

Cell lengths 22.2469, 5.5307, 6.3597 Å; angles 90.00, 100.98, 90.00 degrees
Space group C2/m (No. 12)
Asymmetric unit:
Tb  0.1158  0.0000  0.3483 (multiplicity 4)
Tb  0.2084  0.0000  0.8928 (multiplicity 4)
Dy  0.0000  0.5000  0.5000 (multiplicity 2)
Dy  0.0471  0.0000  0.8115 (multiplicity 4)
Dy  0.1361  0.5000  0.0051 (multiplicity 4)
Dy  0.2101  0.5000  0.5680 (multiplicity 4)
In  0.0000  0.5000  0.0000 (multiplicity 2)

Properties
- Crystal system: monoclinic
- ΔH_f (0 K): 30 meV/atom

The following is a DFT calculation (GGA-PBE) of a relaxed structure of Tb3Dy5In4.

Cell lengths 17.7079, 5.1739, 8.3390 Å; angles 90.00, 111.93, 90.00 degrees
Space group C2/m (No. 12)
Asymmetric unit:
Tb  0.0000  0.0000  0.0000 (multiplicity 2)
Tb  0.0937  0.0000  0.4471 (multiplicity 4)
Dy  0.0000  0.5000  0.0000 (multiplicity 2)
Dy  0.1670  0.0000  0.9158 (multiplicity 4)
Dy  0.1837  0.5000  0.2649 (multiplicity 4)
In  0.0413  0.5000  0.6871 (multiplicity 4)
In  0.2093  0.5000  0.6776 (multiplicity 4)

Properties
- Crystal system: monoclinic
- ΔH_f (0 K): -23 meV/atom

The following is a DFT calculation (GGA-PBE) of a relaxed structure of Tb12Dy7In.

Cell lengths 12.0111, 12.0111, 15.4376 Å; angles 90.00, 90.00, 120.00 degrees
Space group R-3 (No. 148, hexagonal axes)
Asymmetric unit:
Tb  0.0323  0.4544  0.2119 (multiplicity 18)
Tb  0.0559  0.5857  0.5856 (multiplicity 18)
Dy  0.0000  0.0000  0.0000 (multiplicity 3)
Dy  0.0533  0.1873  0.3004 (multiplicity 18)
In  0.0000  0.0000  0.5000 (multiplicity 3)

Properties
- Crystal system: trigonal
- ΔH_f (0 K): 163 meV/atom

The following is a DFT calculation (GGA-PBE) of a relaxed structure of Tb3DyIn2.

Cell lengths 5.2020, 9.8577, 6.7301 Å; angles 90.00, 90.00, 90.00 degrees
Space group Pmc2_1 (No. 26)
Asymmetric unit:
Tb  0.0000  0.0370  0.0000 (multiplicity 2)
Tb  0.0000  0.3197  0.3491 (multiplicity 2)
Tb  0.5000  0.1816  0.7223 (multiplicity 2)
Dy  0.5000  0.4625  0.0711 (multiplicity 2)
In  0.0000  0.3581  0.8260 (multiplicity 2)
In  0.5000  0.1422  0.2457 (multiplicity 2)

Properties
- Crystal system: orthorhombic
- ΔH_f (0 K): -359 meV/atom

The following is a DFT calculation (GGA-PBE) of a relaxed structure of TbDy8In6.

Cell lengths 9.0330, 9.0330, 19.4554 Å; angles 90.00, 90.00, 120.00 degrees
Space group R-3 (No. 148, hexagonal axes)
Asymmetric unit:
Tb  0.0000  0.0000  0.0000 (multiplicity 3)
Dy  0.0000  0.0000  0.3333 (multiplicity 6)
Dy  0.0002  0.3333  0.2202 (multiplicity 18)
In  0.0004  0.3333  0.3922 (multiplicity 18)

Properties
- Crystal system: trigonal
- ΔH_f (0 K): -214 meV/atom

The following is a DFT calculation (GGA-PBE) of a relaxed structure of TbDy8In5.

Cell lengths 9.4340, 9.4340, 9.2913 Å; angles 90.00, 90.00, 90.00 degrees
Space group I-4 (No. 82)
Asymmetric unit:
Tb  0.0000  0.0000  0.0000 (multiplicity 2)
Dy  0.0722  0.3426  0.9551 (multiplicity 8)
Dy  0.0814  0.1843  0.3147 (multiplicity 8)
In  0.0000  0.5000  0.2500 (multiplicity 2)
In  0.1310  0.2450  0.6396 (multiplicity 8)

Properties
- Crystal system: tetragonal
- ΔH_f (0 K): -198 meV/atom

The following is a DFT calculation (GGA-PBE) of a relaxed structure of Tb5Dy4In.

Cell lengths 4.1265, 4.1265, 18.1119 Å; angles 90.00, 90.00, 90.00 degrees
Space group P4/mmm (No. 123)
Asymmetric unit:
Tb  0.0000  0.0000  0.0000 (multiplicity 1)
Tb  0.0000  0.0000  0.2037 (multiplicity 2)
Tb  0.0000  0.0000  0.4097 (multiplicity 2)
Dy  0.5000  0.5000  0.1012 (multiplicity 2)
Dy  0.5000  0.5000  0.3032 (multiplicity 2)
In  0.5000  0.5000  0.5000 (multiplicity 1)

Properties
- Crystal system: tetragonal
- ΔH_f (0 K): 16 meV/atom

The following is a DFT calculation (GGA-PBE) of a relaxed structure of TbDy9In2.

Cell lengths 4.8682, 4.8682, 14.9233 Å; angles 90.00, 90.00, 90.00 degrees
Space group P4/mmm (No. 123)
Asymmetric unit:
Tb  0.0000  0.0000  0.0000 (multiplicity 1)
Dy  0.0000  0.5000  0.1727 (multiplicity 4)
Dy  0.0000  0.5000  0.5000 (multiplicity 2)
Dy  0.5000  0.5000  0.0000 (multiplicity 1)
Dy  0.5000  0.5000  0.3374 (multiplicity 2)
In  0.0000  0.0000  0.3393 (multiplicity 2)

Properties
- Crystal system: tetragonal
- ΔH_f (0 K): -166 meV/atom

The following is a DFT calculation (GGA-PBE) of a relaxed structure of Tb7Dy2In2.

Cell lengths 3.6293, 17.3052, 11.0515 Å; angles 90.00, 90.00, 90.00 degrees
Space group Imm2 (No. 44)
Asymmetric unit:
Tb  0.0000  0.0000  0.0000 (multiplicity 2)
Tb  0.0000  0.1060  0.5639 (multiplicity 4)
Tb  0.0000  0.3256  0.3178 (multiplicity 4)
Tb  0.0000  0.3474  0.7992 (multiplicity 4)
Dy  0.0000  0.2212  0.0597 (multiplicity 4)
In  0.0000  0.0000  0.3047 (multiplicity 2)
In  0.0000  0.5000  0.2570 (multiplicity 2)

Properties
- Crystal system: orthorhombic
- ΔH_f (0 K): -41 meV/atom

The following is a DFT calculation (GGA-PBE) of a relaxed structure of Tb2DyIn.

Cell lengths 3.6069, 3.6069, 32.5023 Å; angles 90.00, 90.00, 120.00 degrees
Space group R3m (No. 160, hexagonal axes)
Asymmetric unit:
Tb  0.0000  0.0000  0.0000 (multiplicity 3)
Tb  0.0000  0.0000  0.1766 (multiplicity 3)
Dy  0.0000  0.0000  0.4216 (multiplicity 3)
In  0.0000  0.0000  0.5880 (multiplicity 3)

Properties
- Crystal system: trigonal
- ΔH_f (0 K): -140 meV/atom

The following is a DFT calculation (GGA-PBE) of a relaxed structure of Tb4Dy7In.

Cell lengths 12.0925, 5.8509, 12.3643 Å; angles 90.00, 115.56, 90.00 degrees
Space group C2/m (No. 12)
Asymmetric unit:
Tb  0.1325  0.0000  0.2699 (multiplicity 4)
Tb  0.1523  0.5000  0.1251 (multiplicity 4)
Dy  0.0000  0.0000  0.5000 (multiplicity 2)
Dy  0.0961  0.5000  0.7779 (multiplicity 4)
Dy  0.1311  0.0000  0.9769 (multiplicity 4)
Dy  0.2008  0.5000  0.4207 (multiplicity 4)
In  0.0000  0.5000  0.5000 (multiplicity 2)

Properties
- Crystal system: monoclinic
- ΔH_f (0 K): 190 meV/atom

The following is a DFT calculation (GGA-PBE) of a relaxed structure of Tb9Dy4In11.

Cell lengths 17.7663, 21.1213, 3.4774 Å; angles 90.00, 90.00, 90.00 degrees
Space group Cmmm (No. 65)
Asymmetric unit:
Tb  0.0000  0.0000  0.0000 (multiplicity 2)
Tb  0.1160  0.2402  0.0000 (multiplicity 8)
Tb  0.1193  0.4113  0.0000 (multiplicity 8)
Dy  0.1535  0.0832  0.0000 (multiplicity 8)
In  0.0000  0.1367  0.5000 (multiplicity 4)
In  0.0000  0.3293  0.5000 (multiplicity 4)
In  0.0000  0.5000  0.5000 (multiplicity 2)
In  0.2320  0.5000  0.5000 (multiplicity 4)
In  0.2420  0.3232  0.5000 (multiplicity 8)

Properties
- Crystal system: orthorhombic
- ΔH_f (0 K): -392 meV/atom

The following is a DFT calculation (GGA-PBE) of a relaxed structure of Tb6Dy2In.

Cell lengths 3.4854, 10.1702, 15.8991 Å; angles 90.00, 90.00, 90.00 degrees
Space group Immm (No. 71)
Asymmetric unit:
Tb  0.0000  0.1628  0.1766 (multiplicity 8)
Tb  0.0000  0.1952  0.5000 (multiplicity 4)
Dy  0.0000  0.5000  0.1545 (multiplicity 4)
In  0.0000  0.0000  0.0000 (multiplicity 2)

Properties
- Crystal system: orthorhombic
- ΔH_f (0 K): -14 meV/atom

The following is a DFT calculation (GGA-PBE) of a relaxed structure of Tb6Dy3In.

Cell lengths 12.8661, 3.5446, 14.4414 Å; angles 90.00, 108.19, 90.00 degrees
Space group P2_1/m (No. 11)
Asymmetric unit:
Tb  0.1133  0.2500  0.2107 (multiplicity 2)
Tb  0.1635  0.7500  0.7843 (multiplicity 2)
Tb  0.2477  0.2500  0.6082 (multiplicity 2)
Tb  0.2814  0.7500  0.4014 (multiplicity 2)
Tb  0.3575  0.7500  0.1925 (multiplicity 2)
Tb  0.3640  0.2500  0.9769 (multiplicity 2)
Dy  0.0319  0.7500  0.4078 (multiplicity 2)
Dy  0.1229  0.7500  0.0043 (multiplicity 2)
Dy  0.4905  0.7500  0.6023 (multiplicity 2)
In  0.4219  0.7500  0.8026 (multiplicity 2)

Properties
- Crystal system: monoclinic
- ΔH_f (0 K): -33 meV/atom

The following is a DFT calculation (GGA-PBE) of a relaxed structure of Tb2Dy4In5.

Cell lengths 6.4848, 10.7748, 20.5133 Å; angles 90.00, 90.00, 90.00 degrees
Space group Fmmm (No. 69)
Asymmetric unit:
Tb  0.0000  0.0000  0.1957 (multiplicity 8)
Dy  0.0000  0.1633  0.3710 (multiplicity 16)
In  0.0000  0.0000  0.5000 (multiplicity 4)
In  0.2500  0.2500  0.0000 (multiplicity 8)
In  0.2500  0.2500  0.2500 (multiplicity 8)

Properties
- Crystal system: orthorhombic
- ΔH_f (0 K): -84 meV/atom